Record 1
Material: Ce3DySn2
Method: DFT, PBE-GGA
State: relaxed

```
12
Lattice="-2.810 1.674 2.771 4.976 -7.248 6.110 3.237 8.381 -1.781" Properties=species:S:1:pos:R:3 pbc="T T T"
Ce 3.287 -0.592 7.008
Ce 3.446 -2.778 5.173
Ce 2.115 3.400 0.091
Ce 3.771 0.533 3.503
Ce 1.956 5.586 1.926
Ce 1.631 2.275 3.596
Dy 0.996 -0.692 1.428
Dy 4.406 3.499 5.672
Sn -0.621 2.209 1.352
Sn 6.023 0.599 5.748
Sn 0.944 -0.645 4.663
Sn 4.458 3.453 2.436
```

Calculated values
**E_form**: -0.43 eV per atom
**Magnetization**: 1.48 μB per formula unit



Record 2
Material: CeDySn2
Method: DFT, PBE-GGA
State: relaxed

```
4
Lattice="-4.327 1.413 -0.494 -1.420 -3.728 1.772 2.354 1.716 5.498" Properties=species:S:1:pos:R:3 pbc="T T T"
Sn 0.627 -0.093 5.685
Sn -3.063 2.291 2.367
Ce -0.811 2.683 4.997
Dy -1.625 -0.479 3.067
```

Calculated values
**E_form**: -0.65 eV per atom
**Magnetization**: 0.88 μB per formula unit



Record 3
Material: CeDySn
Method: DFT, PBE-GGA
State: relaxed

```
3
Lattice="-2.748 0.925 1.501 -2.527 -4.179 -2.051 2.423 -0.411 4.691" Properties=species:S:1:pos:R:3 pbc="T T T"
Sn -2.707 -2.306 1.196
Ce 0.313 -1.512 2.695
Dy -0.458 0.154 0.250
```

Calculated values
**Distance to the lowest polymorph of the same formula**: 0.4181 eV per atom
**E_form**: -0.17 eV per atom
**Magnetization**: 1.22 μB per formula unit



Record 4
Material: Ce2Dy5Sn4
Method: DFT, PBE-GGA
State: relaxed

```
11
Lattice="4.796 0.000 0.000 0.000 8.550 -2.307 -2.398 -6.712 10.138" Properties=species:S:1:pos:R:3 pbc="T T T"
Sn 2.398 -4.871 9.172
Sn 0.000 -1.172 5.143
Sn 2.398 3.010 2.687
Sn 0.000 6.709 -1.342
Dy 2.398 0.935 5.301
Dy 2.398 0.000 0.000
Dy 0.000 0.903 2.529
Dy 0.000 3.602 4.757
Dy 2.398 -1.764 3.073
Ce 0.000 4.282 0.978
Ce 2.398 -2.444 6.853
```

Calculated values
**E_form**: -0.41 eV per atom
**Magnetization**: 3.65 μB per formula unit